RbPrGa: relaxed, PBE-GGA.

Lattice parameters (Å, degrees): 7.603 7.603 7.603 90.00 90.00 90.00
Space group F-43m (No. 216)
Asymmetric unit:
Rb (0.000, 0.000, 0.000) [4 per cell]
Pr (0.250, 0.250, 0.750) [4 per cell]
Ga (0.000, 0.000, 0.500) [4 per cell]

- electronic total energy (eV per atom) = -2.388



Tl5Ag3P4S12: relaxed, PBE-GGA.

Lattice parameters (Å, degrees): 26.007 7.591 13.051 90.00 109.30 90.00
Space group C2/c (No. 15)
Asymmetric unit:
Tl (0.000, 0.006, 0.250) [4 per cell]
Tl (0.158, 0.109, 0.615) [8 per cell]
Tl (0.161, 0.387, 0.267) [8 per cell]
Ag (0.000, 0.481, 0.750) [4 per cell]
Ag (0.119, 0.344, 0.971) [8 per cell]
P (0.014, 0.354, 0.506) [8 per cell]
P (0.240, 0.160, 0.925) [8 per cell]
S (0.053, 0.198, 0.047) [8 per cell]
S (0.061, 0.316, 0.665) [8 per cell]
S (0.062, 0.332, 0.409) [8 per cell]
S (0.162, 0.074, 0.890) [8 per cell]
S (0.204, 0.463, 0.531) [8 per cell]
S (0.248, 0.315, 0.802) [8 per cell]

- electronic total energy (eV per atom) = -4.150



AlZnSi2: relaxed, PBE-GGA.

Lattice parameters (Å, degrees): 6.297 6.297 6.297 90.00 90.00 90.00
Space group F-43m (No. 216)
Asymmetric unit:
Al (0.000, 0.000, 0.000) [4 per cell]
Zn (0.250, 0.250, 0.250) [4 per cell]
Si (0.000, 0.000, 0.500) [4 per cell]
Si (0.250, 0.250, 0.750) [4 per cell]

- electronic total energy (eV per atom) = -3.610



NaTbFeTe3: relaxed, PBE-GGA.

Lattice parameters (Å, degrees): 8.939 4.218 10.002 90.00 104.30 90.00
Space group P2_1/m (No. 11)
Asymmetric unit:
Na (0.202, 0.250, 0.251) [2 per cell]
Tb (0.327, 0.750, 0.851) [2 per cell]
Fe (0.066, 0.250, 0.578) [2 per cell]
Te (0.077, 0.250, 0.846) [2 per cell]
Te (0.235, 0.750, 0.527) [2 per cell]
Te (0.430, 0.750, 0.169) [2 per cell]

- electronic total energy (eV per atom) = -4.757



Ta2Be17: relaxed, PBE-GGA.

Lattice parameters (Å, degrees): 7.3595 7.3595 10.6953 90.00 90.00 120.00
Space group R-3m (No. 166, hexagonal axes)
Asymmetric unit:
Ta (0.0000, 0.0000, 0.1596) [6 per cell]
Be (0.0000, 0.0000, 0.4010) [6 per cell]
Be (0.0000, 0.2951, 0.5000) [18 per cell]
Be (0.0000, 0.5000, 0.0000) [9 per cell]
Be (0.0054, 0.5027, 0.6558) [18 per cell]

- electronic total energy (eV per atom) = -4.788



SmAl8Co2: relaxed, PBE-GGA.

Lattice parameters (Å, degrees): 12.451 14.361 3.987 90.00 90.00 90.00
Space group Pbam (No. 55)
Asymmetric unit:
Sm (0.160, 0.182, 0.000) [4 per cell]
Al (0.000, 0.000, 0.000) [2 per cell]
Al (0.000, 0.500, 0.500) [2 per cell]
Al (0.025, 0.868, 0.500) [4 per cell]
Al (0.048, 0.320, 0.500) [4 per cell]
Al (0.096, 0.748, 0.000) [4 per cell]
Al (0.160, 0.456, 0.000) [4 per cell]
Al (0.160, 0.622, 0.500) [4 per cell]
Al (0.168, 0.009, 0.500) [4 per cell]
Al (0.236, 0.827, 0.500) [4 per cell]
Co (0.034, 0.595, 0.000) [4 per cell]
Co (0.152, 0.904, 0.000) [4 per cell]

- electronic total energy (eV per atom) = -4.910



GdTmGa2Ni4: relaxed, PBE-GGA.

Lattice parameters (Å, degrees): 4.1505 4.1505 8.8443 90.00 90.00 120.00
Space group P-6m2 (No. 187)
Asymmetric unit:
Gd (0.0000, 0.0000, 0.0000) [1 per cell]
Tm (0.3333, 0.6667, 0.5000) [1 per cell]
Ga (0.6667, 0.3333, 0.2533) [2 per cell]
Ni (0.0000, 0.0000, 0.3179) [2 per cell]
Ni (0.3333, 0.6667, 0.1918) [2 per cell]

- electronic total energy (eV per atom) = -5.255



CsNa3Ag2P2: relaxed, PBE-GGA.

Lattice parameters (Å, degrees): 5.934 5.773 6.155 90.00 103.35 90.00
Space group Pm (No. 6)
Asymmetric unit:
Cs (0.000, 0.000, 0.000) [1 per cell]
Na (0.082, 0.500, 0.387) [1 per cell]
Na (0.359, 0.000, 0.658) [1 per cell]
Na (0.702, 0.500, 0.686) [1 per cell]
Ag (0.541, 0.255, 0.178) [2 per cell]
P (0.297, 0.500, 0.886) [1 per cell]
P (0.765, 0.000, 0.466) [1 per cell]

- electronic total energy (eV per atom) = -2.906



Sr3Cu4As4: relaxed, PBE-GGA.

Lattice parameters (Å, degrees): 4.2094 4.2094 15.7157 90.00 90.00 120.00
Space group P-3m1 (No. 164)
Asymmetric unit:
Sr (0.0000, 0.0000, 0.0000) [1 per cell]
Sr (0.0000, 0.0000, 0.2792) [2 per cell]
Cu (0.3333, 0.6667, 0.1401) [2 per cell]
Cu (0.3333, 0.6667, 0.5583) [2 per cell]
As (0.3333, 0.6667, 0.4043) [2 per cell]
As (0.3333, 0.6667, 0.8627) [2 per cell]

- electronic total energy (eV per atom) = -4.139



LaPmTl: relaxed, PBE-GGA.

Lattice parameters (Å, degrees): 7.578 7.578 7.578 90.00 90.00 90.00
Space group F-43m (No. 216)
Asymmetric unit:
La (0.000, 0.000, 0.000) [4 per cell]
Pm (0.000, 0.000, 0.500) [4 per cell]
Tl (0.250, 0.250, 0.250) [4 per cell]

- electronic total energy (eV per atom) = -4.092



WN: relaxed, PBE-GGA.

Lattice parameters (Å, degrees): 7.178 2.928 4.287 90.00 101.66 90.00
Space group Cm (No. 8)
Asymmetric unit:
W (0.000, 0.000, 0.000) [2 per cell]
W (0.154, 0.500, 0.548) [2 per cell]
N (0.273, 0.000, 0.895) [2 per cell]
N (0.442, 0.500, 0.475) [2 per cell]

- electronic total energy (eV per atom) = -10.983



Tm3FeNi: relaxed, PBE-GGA.

Lattice parameters (Å, degrees): 7.2980 7.2980 4.7488 90.00 90.00 120.00
Space group P-31m (No. 162)
Asymmetric unit:
Tm (0.0000, 0.3393, 0.2495) [6 per cell]
Fe (0.0000, 0.0000, 0.2487) [2 per cell]
Ni (0.3333, 0.6667, 0.0000) [2 per cell]

- energy of formation from the pure elements (eV per atom) = 0.062